# 1
Below is crystalline YSc5Al6 at its relaxed geometry, with properties calculated at the GGA-PBE level.

Results
density: 3.304 g/cm³
uncorrected energy: -5.48 eV per atom
total moment: 0.0 μB/f.u.

Unit cell a=4.8518 b=6.7696 c=14.5546 alpha=90.00 beta=90.00 gamma=90.00
Space group Immm (No. 71)
Asymmetric unit:
Y  0.0000  0.0000  0.0000 [2 per cell]
Sc  0.0000  0.0000  0.3310 [4 per cell]
Sc  0.0000  0.5000  0.0000 [2 per cell]
Sc  0.0000  0.5000  0.3373 [4 per cell]
Al  0.0000  0.2317  0.5000 [4 per cell]
Al  0.0000  0.2591  0.1709 [8 per cell]

---

# 2
Below is crystalline Ag3F at its relaxed geometry, with properties calculated at the GGA-PBE level.

Results
offset from the most stable computed form: 160 meV per atom
density: 8.502 g/cm³
uncorrected energy: -2.91 eV per atom
total moment: 0.0 μB/f.u.
raw formation energy: -0.3063 eV per atom

Unit cell a=5.8004 b=5.8004 c=4.5930 alpha=90.00 beta=90.00 gamma=120.00
Space group P6_3/mmc (No. 194)
Asymmetric unit:
Ag  0.1675  0.3349  0.2500 [6 per cell]
F  0.3333  0.6667  0.7500 [2 per cell]

---

# 3
Below is crystalline RbZrNO2 at its relaxed geometry, with properties calculated at the GGA-PBE level.

Results
density: 4.655 g/cm³
uncorrected energy: -4.40 eV per atom
total moment: 0.5 μB/f.u.
raw formation energy: 1.1466 eV per atom

Unit cell a=4.2553 b=4.2553 c=4.3868 alpha=90.00 beta=90.00 gamma=90.00
Space group P4/mmm (No. 123)
Asymmetric unit:
Rb  0.0000  0.0000  0.0000 [1 per cell]
Zr  0.5000  0.5000  0.5000 [1 per cell]
N  0.0000  0.0000  0.5000 [1 per cell]
O  0.0000  0.5000  0.0000 [2 per cell]